# 1
First-principles (GGA-PBE) data for ZnPd5Pt6 after structural relaxation, as listed in Alexandria.

The value obtained for the theoretical density is 15.95 Mg/m³. For the spin magnetization, the calculation gives 0.00 μB/atom. The energy of formation comes out at -165.0 kJ/mol of formula units. The density of states at the Fermi level comes out at 19.27 states/eV/cell.

a b c (Å): 3.9200 7.3798 7.3798
angles (deg): 106.02 105.43 105.43
Element x y z (fractional)
Pd (0.5000, 0.5000, 0.5000)
Zn (0.0000, 0.0000, 0.0000)
Pd (0.0000, 0.6664, 0.3336)
Pt (0.7484, 0.2480, 0.2480)
Pd (0.5000, 0.1619, 0.8381)
Pt (0.2490, 0.4147, 0.0828)
Pt (0.2516, 0.7520, 0.7520)
Pt (0.7510, 0.5853, 0.9172)
Pt (0.2490, 0.0828, 0.4147)
Pd (0.5000, 0.8381, 0.1619)
Pt (0.7510, 0.9172, 0.5853)
Pd (0.0000, 0.3336, 0.6664)

# 2
First-principles (GGA-PBE) data for Zn11Pd4Pt9 after structural relaxation, as listed in Alexandria.

The value obtained for the theoretical density is 13.57 Mg/m³. For the spin magnetization, the calculation gives 0.00 μB/atom. The energy of formation comes out at -1154.9 kJ/mol of formula units. The density of states at the Fermi level comes out at 7.18 states/eV/cell.

a b c (Å): 2.8705 11.3857 11.3857
angles (deg): 107.43 90.00 90.00
Element x y z (fractional)
Pt (0.5000, 0.7949, 0.9878)
Zn (0.0000, 0.5913, 0.9481)
Zn (0.0000, 0.4087, 0.0519)
Zn (0.0000, 0.9481, 0.5913)
Zn (0.0000, 0.0000, 0.0000)
Pt (0.5000, 0.6116, 0.1606)
Zn (0.0000, 0.6249, 0.3751)
Pd (0.5000, 0.4091, 0.2509)
Pt (0.5000, 0.0122, 0.2051)
Pt (0.5000, 0.5000, 0.5000)
Pt (0.5000, 0.3884, 0.8394)
Pd (0.5000, 0.5909, 0.7491)
Pt (0.5000, 0.1606, 0.6116)
Zn (0.0000, 0.1878, 0.8122)
Zn (0.0000, 0.3751, 0.6249)
Pd (0.5000, 0.7491, 0.5909)
Pd (0.5000, 0.2509, 0.4091)
Zn (0.0000, 0.2103, 0.2103)
Zn (0.0000, 0.8122, 0.1878)
Zn (0.0000, 0.7897, 0.7897)
Pt (0.5000, 0.2051, 0.0122)
Pt (0.5000, 0.8394, 0.3884)
Pt (0.5000, 0.9878, 0.7949)
Zn (0.0000, 0.0519, 0.4087)

# 3
First-principles (GGA-PBE) data for ZnPd5Pt4 after structural relaxation, as listed in Alexandria.

The value obtained for the theoretical density is 14.95 Mg/m³. For the spin magnetization, the calculation gives 0.00 μB/atom. The energy of formation comes out at -130.9 kJ/mol of formula units. The density of states at the Fermi level comes out at 17.71 states/eV/cell.

a b c (Å): 2.7867 3.9132 14.0348
angles (deg): 90.00 90.00 90.00
Element x y z (fractional)
Pd (0.5000, 0.5000, 0.0966)
Pt (0.0000, 0.0000, 0.6004)
Pd (0.5000, 0.5000, 0.9034)
Pt (0.0000, 0.0000, 0.3996)
Pt (0.0000, 0.0000, 0.8025)
Pd (0.5000, 0.5000, 0.7018)
Pd (0.5000, 0.5000, 0.2982)
Pd (0.5000, 0.5000, 0.5000)
Zn (0.0000, 0.0000, 0.0000)
Pt (0.0000, 0.0000, 0.1975)

# 4
First-principles (GGA-PBE) data for Zn8PdPt2 after structural relaxation, as listed in Alexandria.

The value obtained for the theoretical density is 9.85 Mg/m³. For the spin magnetization, the calculation gives 0.00 μB/atom. The energy of formation comes out at -354.4 kJ/mol of formula units. The density of states at the Fermi level comes out at 1.93 states/eV/cell.

a b c (Å): 4.2397 7.8258 6.4929
angles (deg): 52.94 89.97 89.95
Element x y z (fractional)
Zn (0.4992, 0.3343, 0.0000)
Zn (0.9989, 0.2971, 0.7380)
Zn (0.5000, 0.7564, 0.4872)
Zn (0.0011, 0.9649, 0.7380)
Zn (0.5000, 0.2436, 0.5128)
Zn (0.5008, 0.6657, 0.0000)
Pt (0.0000, 0.3676, 0.2648)
Pd (0.5000, 0.0000, 0.0000)
Zn (0.0011, 0.7029, 0.2620)
Zn (0.9989, 0.0351, 0.2620)
Pt (0.0000, 0.6324, 0.7352)

# 5
First-principles (GGA-PBE) data for ZnPdPt3 after structural relaxation, as listed in Alexandria.

The value obtained for the theoretical density is 13.07 Mg/m³. For the spin magnetization, the calculation gives 0.00 μB/atom. The energy of formation comes out at 424.2 kJ/mol of formula units. The density of states at the Fermi level comes out at 4.56 states/eV/cell.

a b c (Å): 4.5815 4.5815 4.5815
angles (deg): 90.00 90.00 90.00
Element x y z (fractional)
Pt (0.5000, 0.0000, 0.0000)
Zn (0.0000, 0.0000, 0.0000)
Pt (0.0000, 0.0000, 0.5000)
Pt (0.0000, 0.5000, 0.0000)
Pd (0.5000, 0.5000, 0.5000)

# 6
First-principles (GGA-PBE) data for Zn2PdPt4 after structural relaxation, as listed in Alexandria.

The value obtained for the theoretical density is 15.94 Mg/m³. For the spin magnetization, the calculation gives 0.00 μB/atom. The energy of formation comes out at -206.9 kJ/mol of formula units. The density of states at the Fermi level comes out at 6.28 states/eV/cell.

a b c (Å): 2.8131 2.8131 15.5509
angles (deg): 84.81 84.81 60.00
Element x y z (fractional)
Pd (0.5000, 0.5000, 0.5000)
Pt (0.3070, 0.3070, 0.0789)
Pt (0.6930, 0.6930, 0.9211)
Zn (0.5954, 0.5954, 0.2137)
Pt (0.1163, 0.1163, 0.6512)
Zn (0.4046, 0.4046, 0.7863)
Pt (0.8837, 0.8837, 0.3488)

Copy entry 4 word for word.
First-principles (GGA-PBE) data for Zn8PdPt2 after structural relaxation, as listed in Alexandria.

The value obtained for the theoretical density is 9.85 Mg/m³. For the spin magnetization, the calculation gives 0.00 μB/atom. The energy of formation comes out at -354.4 kJ/mol of formula units. The density of states at the Fermi level comes out at 1.93 states/eV/cell.

a b c (Å): 4.2397 7.8258 6.4929
angles (deg): 52.94 89.97 89.95
Element x y z (fractional)
Zn (0.4992, 0.3343, 0.0000)
Zn (0.9989, 0.2971, 0.7380)
Zn (0.5000, 0.7564, 0.4872)
Zn (0.0011, 0.9649, 0.7380)
Zn (0.5000, 0.2436, 0.5128)
Zn (0.5008, 0.6657, 0.0000)
Pt (0.0000, 0.3676, 0.2648)
Pd (0.5000, 0.0000, 0.0000)
Zn (0.0011, 0.7029, 0.2620)
Zn (0.9989, 0.0351, 0.2620)
Pt (0.0000, 0.6324, 0.7352)

- What is the formula in the second record?
  Zn11Pd4Pt9

- Which value of energy of formation does entry 5 give?
  424.2 kJ/mol of formula units